A plane-wave DFT calculation with PBE-GGA was carried out for PmEr2Co after structural relaxation.

Lattice parameters (Å, degrees): 3.381 3.381 8.876 90.00 90.00 90.00
Each line ends with the local moment (μB).
Fractional coordinates of all 4 atoms:
Er: 0.000 0.000 0.179  -0.10
Er: 0.000 0.000 0.821  -0.10
Co: 0.500 0.500 0.000  0.81
Pm: 0.500 0.500 0.500  0.02

Calculated values
The symmetry is P4/mmm. As for the electronic total energy: -5.34 eV/atom. For the size of the total moment, the calculation gives 0.638 μB per formula unit. For the energy relative to the lowest polymorph listed for this composition, the calculation gives 37 meV/atom. For the energy of formation, the calculation gives -0.09 eV/atom.

---

A plane-wave DFT calculation with PBE-GGA was carried out for Rb2PuSb4Au3 after structural relaxation.

Lattice parameters (Å, degrees): 4.913 4.913 12.242 90.00 90.00 90.00
Each line ends with the local moment (μB).
Fractional coordinates of all 10 atoms:
Au: 0.000 0.500 0.121  -0.01
Pu: 0.500 0.500 0.500  5.20
Rb: 0.000 0.500 0.758  0.00
Rb: 0.500 0.000 0.242  0.00
Sb: 0.500 0.000 0.646  -0.08
Sb: 0.500 0.500 0.000  -0.01
Sb: 0.000 0.500 0.354  -0.08
Au: 0.500 0.000 0.879  -0.01
Au: 0.000 0.000 0.500  -0.04
Sb: 0.000 0.000 0.000  -0.01

Calculated values
The symmetry is P-4m2. As for the electronic total energy: -4.57 eV/atom. For the size of the total moment, the calculation gives 4.950 μB per formula unit.

---

A plane-wave DFT calculation with PBE-GGA was carried out for Pr7IrI12 after structural relaxation.

Lattice parameters (Å, degrees): 10.121 10.121 10.121 107.04 107.04 107.04
Each line ends with the local moment (μB).
Fractional coordinates of all 20 atoms:
I: 0.533 0.840 0.614  0.00
Pr: 0.500 0.500 0.500  0.07
I: 0.927 0.320 0.774  0.00
I: 0.386 0.467 0.160  0.00
I: 0.840 0.614 0.533  0.00
I: 0.226 0.073 0.680  0.00
I: 0.614 0.533 0.840  0.00
I: 0.680 0.226 0.073  0.00
Pr: 0.100 0.025 0.303  0.00
Pr: 0.900 0.975 0.697  0.00
I: 0.160 0.386 0.467  0.00
I: 0.774 0.927 0.320  0.00
Pr: 0.975 0.697 0.900  0.00
I: 0.073 0.680 0.226  0.00
Pr: 0.025 0.303 0.100  0.00
I: 0.467 0.160 0.386  0.00
Pr: 0.303 0.100 0.025  0.00
Pr: 0.697 0.900 0.975  0.00
Ir: 0.000 0.000 0.000  0.00
I: 0.320 0.774 0.927  0.00

Calculated values
The symmetry is R-3. As for the electronic total energy: -4.35 eV/atom. For the size of the total moment, the calculation gives 0.215 μB per formula unit.

---

A plane-wave DFT calculation with PBE-GGA was carried out for HgMo3Ru after structural relaxation.

Lattice parameters (Å, degrees): 4.706 4.706 4.706 90.00 90.00 90.00
Fractional coordinates of all 5 atoms:
Ru: 0.000 0.000 0.000
Mo: 0.000 0.500 0.000
Mo: 0.000 0.000 0.500
Hg: 0.500 0.500 0.500
Mo: 0.500 0.000 0.000

Calculated values
The symmetry is Pm-3m. As for the electronic total energy: -6.89 eV/atom. For the size of the total moment, the calculation gives 0.000 μB per formula unit. For the energy relative to the lowest polymorph listed for this composition, the calculation gives 0 meV/atom. For the energy of formation, the calculation gives 1.52 eV/atom.